4
Lattice="2.889 0.000 0.000 0.000 2.889 0.000 0.000 0.000 5.792" Properties=species:S:1:pos:R:3 comment="CuNi2Cl SCAN single point on PBEsol structure" formation_energy_uncorrected_mev_per_atom=358 vol_a3_per_fu=48.3 sg="No. 123" crystal_system=tetragonal pbc="T T T"
Cu 0.000 0.000 0.000
Ni 1.444 1.444 1.341
Ni 1.444 1.444 4.451
Cl 0.000 0.000 2.896

=====

4
Lattice="-1.567 1.651 6.503 1.567 -1.651 6.503 1.567 1.651 -6.503" Properties=species:S:1:pos:R:3 comment="CuNiCl2 SCAN single point on PBEsol structure" formation_energy_uncorrected_mev_per_atom=-225 vol_a3_per_fu=67.3 sg="No. 44" crystal_system=orthorhombic pbc="T T T"
Cu 0.000 0.000 0.000
Ni 1.567 0.000 2.036
Cl 0.000 0.000 5.759
Cl 0.000 1.651 2.508

=====

4
Lattice="3.729 0.000 0.000 0.000 3.350 0.000 -0.198 0.000 5.937" Properties=species:S:1:pos:R:3 comment="CuNiCl2 SCAN single point on PBEsol structure" formation_energy_uncorrected_mev_per_atom=-358 vol_a3_per_fu=74.2 sg="No. 6" crystal_system=monoclinic pbc="T T T"
Cu 0.000 0.000 0.000
Ni 1.849 1.675 0.616
Cl 0.669 1.675 4.599
Cl 2.483 0.000 1.899

=====

3
Lattice="0.000 2.781 2.781 2.781 0.000 2.781 2.781 2.781 0.000" Properties=species:S:1:pos:R:3 comment="CuNiCl SCAN single point on PBEsol structure" formation_energy_uncorrected_mev_per_atom=484 vol_a3_per_fu=43.0 sg="No. 216" crystal_system=cubic pbc="T T T"
Cu 0.000 0.000 0.000
Ni 1.391 1.391 1.391
Cl 2.781 2.781 2.781

=====

5
Lattice="4.362 0.000 0.000 0.000 4.362 0.000 0.000 0.000 4.362" Properties=species:S:1:pos:R:3 comment="CuCl3O SCAN single point on PBEsol structure" formation_energy_uncorrected_mev_per_atom=670 vol_a3_per_fu=83.0 sg="No. 221" crystal_system=cubic pbc="T T T"
Cu 0.000 0.000 0.000
Cl 0.000 2.181 2.181
Cl 2.181 0.000 2.181
Cl 2.181 2.181 0.000
O 2.181 2.181 2.181

=====

5
Lattice="4.572 0.000 0.000 0.000 4.572 0.000 0.000 0.000 4.572" Properties=species:S:1:pos:R:3 comment="CuCl3O SCAN single point on PBEsol structure" formation_energy_uncorrected_mev_per_atom=351 vol_a3_per_fu=95.5 sg="No. 221" crystal_system=cubic pbc="T T T"
Cu 0.000 0.000 0.000
Cl 0.000 0.000 2.286
Cl 0.000 2.286 0.000
Cl 2.286 0.000 0.000
O 2.286 2.286 2.286

=====

For the records above, the corresponding Fermi-level density of states values read 4.39; 0.54; 0.29; 3.16; 7.63; 4.70 states/eV/f.u..